The following is a PBE calculation of an optimized crystal structure of Re2AgI, from Alexandria via LeMat-Bulk.

```
data_Re2AgI
_chemical_formula_sum 'Re8 Ag4 I4'
_cell_length_a 4.0057
_cell_length_b 4.0057
_cell_length_c 20.5923
_cell_angle_alpha 90.00
_cell_angle_beta 90.00
_cell_angle_gamma 90.00
_space_group_name_H-M_alt 'I -4 2 d'
_space_group_IT_number 122
_space_group_name_Hall 'I -4 2bw'
loop_
_atom_site_label
_atom_site_fract_x
_atom_site_fract_y
_atom_site_fract_z
Re1 0.1723 0.2500 0.1250
Ag1 0.0000 0.0000 0.0000
I1 0.0000 0.0000 0.5000
```

Values from the calculation:
The calculation puts the uncorrected formation energy at 5.26 eV/f.u. For the relative energy among the computed polymorphs, the calculation gives 0 meV per atom.